Ag6PbBr8 | PBE-GGA | optimized geometry

Cell: 11.121 11.121 5.005 Å, 90.00 90.00 120.00°
Positions (direct):
Ag  0.188  0.787  0.219
Ag  0.213  0.401  0.219
Ag  0.401  0.188  0.781
Ag  0.599  0.812  0.219
Ag  0.787  0.599  0.781
Ag  0.812  0.213  0.781
Pb  0.000  0.000  0.500
Br  0.086  0.294  0.739
Br  0.207  0.914  0.739
Br  0.294  0.207  0.261
Br  0.333  0.667  0.338
Br  0.667  0.333  0.662
Br  0.706  0.793  0.739
Br  0.793  0.086  0.261
Br  0.914  0.706  0.261

Properties
symmetry	P-3
E_form (uncorrected)	-388	meV/atom
crystal system	trigonal
total energy	-2.6676	eV/atom

=====

Tm6InBi3 | PBE-GGA | optimized geometry

Cell: 8.229 8.229 8.478 Å, 90.00 90.00 88.97°
Positions (direct):
Tm  0.008  0.501  0.750
Tm  0.162  0.838  0.506
Tm  0.162  0.838  0.994
Tm  0.344  0.344  0.000
Tm  0.344  0.344  0.500
Tm  0.499  0.992  0.750
Tm  0.501  0.008  0.250
Tm  0.656  0.656  0.000
Tm  0.656  0.656  0.500
Tm  0.838  0.162  0.006
Tm  0.838  0.162  0.494
Tm  0.992  0.499  0.250
In  0.356  0.644  0.750
In  0.644  0.356  0.250
Bi  0.146  0.148  0.250
Bi  0.148  0.146  0.750
Bi  0.355  0.645  0.250
Bi  0.645  0.355  0.750
Bi  0.852  0.854  0.250
Bi  0.854  0.852  0.750

Properties
symmetry	Cmcm
crystal system	orthorhombic
energy of formation	-541	meV/atom
total energy	-4.6621	eV/atom

=====

Ta3CdTe | PBE-GGA | optimized geometry

Cell: 5.017 5.017 5.017 Å, 90.00 90.00 90.00°
Positions (direct):
Ta  0.000  0.000  0.500
Ta  0.000  0.500  0.000
Ta  0.500  0.000  0.000
Cd  0.500  0.500  0.500
Te  0.000  0.000  0.000

Properties
symmetry	Pm-3m
E_form (uncorrected)	1709	meV/atom
crystal system	cubic
total energy	-6.2135	eV/atom

=====

TiV2Os3 | PBE-GGA | optimized geometry

Cell: 3.039 3.039 9.169 Å, 90.00 90.00 90.00°
Positions (direct):
Ti  0.000  0.000  0.000
V  0.000  0.000  0.335
V  0.000  0.000  0.665
Os  0.500  0.500  0.171
Os  0.500  0.500  0.500
Os  0.500  0.500  0.829

Properties
symmetry	P4/mmm
crystal system	tetragonal
energy of formation	-382	meV/atom
total energy	-10.3520	eV/atom

=====

Rb3Sc2US6 | PBE-GGA | optimized geometry

Cell: 6.844 6.844 7.986 Å, 98.21 98.21 120.00°
Positions (direct):
Rb  0.000  0.000  0.000
Rb  0.334  0.666  0.000
Rb  0.666  0.334  0.000
Sc  0.167  0.833  0.500
Sc  0.833  0.167  0.500
U  0.500  0.500  0.500
S  0.094  0.438  0.313
S  0.218  0.218  0.686
S  0.438  0.094  0.313
S  0.562  0.906  0.687
S  0.782  0.782  0.314
S  0.906  0.562  0.687

Properties
symmetry	C2/m
E_form (uncorrected)	-1572	meV/atom
crystal system	monoclinic
total energy	-5.8737	eV/atom

=====

Pa2Pd4S5 | PBE-GGA | optimized geometry

Cell: 16.397 16.397 16.397 Å, 13.71 13.71 13.71°
Positions (direct):
Pa  0.134  0.134  0.134
Pa  0.866  0.866  0.866
Pd  0.316  0.316  0.316
Pd  0.418  0.418  0.418
Pd  0.582  0.582  0.582
Pd  0.684  0.684  0.684
S  0.231  0.231  0.231
S  0.369  0.369  0.369
S  0.500  0.500  0.500
S  0.631  0.631  0.631
S  0.769  0.769  0.769

Properties
symmetry	R-3m
E_form (uncorrected)	-781	meV/atom
crystal system	trigonal
total energy	-6.2716	eV/atom

=====

Ce3DySi4 | PBE-GGA | optimized geometry

Cell: 8.723 8.723 8.723 Å, 153.21 137.37 51.06°
Positions (direct):
Ce  0.000  0.000  0.000
Ce  0.305  0.805  0.500
Ce  0.695  0.195  0.500
Dy  0.500  0.500  0.000
Si  0.056  0.370  0.686
Si  0.317  0.630  0.686
Si  0.683  0.370  0.314
Si  0.944  0.630  0.314

Properties
symmetry	Immm
E_form (uncorrected)	-508	meV/atom
crystal system	orthorhombic
total energy	-6.0198	eV/atom

=====

Be2SbW | PBE-GGA | optimized geometry

Cell: 5.452 5.452 5.452 Å, 104.43 104.43 120.11°
Positions (direct):
Be  0.119  0.125  0.494
Be  0.375  0.881  0.006
Be  0.631  0.625  0.506
Be  0.875  0.369  0.994
Sb  0.250  0.750  0.500
Sb  0.500  0.500  0.000
W  0.000  0.000  0.000
W  0.750  0.250  0.500

Properties
symmetry	I-42d
E_form (uncorrected)	922	meV/atom
crystal system	tetragonal
total energy	-5.2097	eV/atom